1.
Here is NdSm2Sc after structural relaxation from Alexandria via LeMat-Bulk. Energies are from PBE.

Properties
Energy above the most stable polymorph in this dataset   13 meV/atom
Energy of formation   0.05 eV/atom

a b c (Å): 5.5162 7.0446 13.1574
angles (deg): 90.00 90.00 90.00
Closest atoms and distances in Å follow each position.
Fractional coordinates of all 16 atoms:
Nd1 0.2500 0.3716 0.5792  8 Sm 3.48-3.85, 3 Sc 3.55-3.57
Nd2 0.7500 0.8716 0.9208  8 Sm 3.48-3.85, 3 Sc 3.55-3.57
Nd3 0.7500 0.6284 0.4208  8 Sm 3.48-3.85, 3 Sc 3.55-3.57
Nd4 0.2500 0.1284 0.0792  8 Sm 3.48-3.85, 3 Sc 3.55-3.57
Sm1 0.2500 0.3757 0.3116  4 Sc 3.22-3.52, 4 Nd 3.52-3.58, 3 Sm 3.56-3.60
Sm2 0.7500 0.6243 0.6884  4 Sc 3.22-3.52, 4 Nd 3.52-3.58, 3 Sm 3.56-3.60
Sm3 0.7500 0.8757 0.1884  4 Sc 3.22-3.52, 4 Nd 3.52-3.58, 3 Sm 3.56-3.60
Sm4 0.2500 0.1243 0.8116  4 Sc 3.22-3.52, 4 Nd 3.52-3.58, 3 Sm 3.56-3.60
Sm5 0.2500 0.6228 0.0758  4 Sc 3.44-3.61, 2 Nd 3.48-3.56, 5 Sm 3.56-3.82
Sm6 0.2500 0.8772 0.5758  4 Sc 3.44-3.61, 2 Nd 3.48-3.56, 5 Sm 3.56-3.82
Sm7 0.7500 0.1228 0.4242  4 Sc 3.44-3.61, 2 Nd 3.48-3.56, 5 Sm 3.56-3.82
Sm8 0.7500 0.3772 0.9242  4 Sc 3.44-3.61, 2 Nd 3.48-3.56, 5 Sm 3.56-3.82
Sc1 0.7500 0.3758 0.1855  7 Sm 3.22-3.57, 3 Nd 3.55-3.57
Sc2 0.2500 0.6242 0.8145  7 Sm 3.22-3.57, 3 Nd 3.55-3.57
Sc3 0.2500 0.8758 0.3145  7 Sm 3.22-3.57, 3 Nd 3.55-3.57
Sc4 0.7500 0.1242 0.6855  7 Sm 3.22-3.57, 3 Nd 3.55-3.57

=====

2.
Here is ErTmNpO6 after structural relaxation from Alexandria via LeMat-Bulk. Energies are from PBE.

Properties
Energy relative to the elements, uncorrected   -3.2346 eV/atom

a b c (Å): 5.6643 5.6643 9.3728
angles (deg): 90.00 90.00 120.00
Closest atoms and distances in Å follow each position.
Fractional coordinates of all 18 atoms:
Er1 0.0000 0.0000 0.0000  6 O 2.31
Er2 0.0000 0.0000 0.5000  6 O 2.31
Tm1 0.3333 0.6667 0.2500  6 O 2.24
Tm2 0.6667 0.3333 0.7500  6 O 2.24
Np1 0.6667 0.3333 0.2500  6 O 2.08
Np2 0.3333 0.6667 0.7500  6 O 2.08
O1 0.6675 0.6465 0.1333  1 Np 2.08, 1 Tm 2.24, 1 Er 2.31
O2 0.9791 0.3325 0.1333  1 Np 2.08, 1 Tm 2.24, 1 Er 2.31
O3 0.3325 0.9791 0.6333  1 Np 2.08, 1 Tm 2.24, 1 Er 2.31
O4 0.0209 0.6675 0.8667  1 Np 2.08, 1 Tm 2.24, 1 Er 2.31
O5 0.3535 0.3325 0.3667  1 Np 2.08, 1 Tm 2.24, 1 Er 2.31
O6 0.9791 0.6465 0.3667  1 Np 2.08, 1 Tm 2.24, 1 Er 2.31
O7 0.6465 0.9791 0.8667  1 Np 2.08, 1 Tm 2.24, 1 Er 2.31
O8 0.6675 0.0209 0.3667  1 Np 2.08, 1 Tm 2.24, 1 Er 2.31
O9 0.0209 0.3535 0.6333  1 Np 2.08, 1 Tm 2.24, 1 Er 2.31
O10 0.3535 0.0209 0.1333  1 Np 2.08, 1 Tm 2.24, 1 Er 2.31
O11 0.6465 0.6675 0.6333  1 Np 2.08, 1 Tm 2.24, 1 Er 2.31
O12 0.3325 0.3535 0.8667  1 Np 2.08, 1 Tm 2.24, 1 Er 2.31

=====

| no. | total magnetic moment (μB per cell) |
| --- | --- |
| 1 | 0.0 |
| 2 | 2.0 |